CaSn3Br2Cl6 | GGA-PBE | optimized geometry

Computed properties:
Volume, Å³/f.u.: 390
Total DFT energy (no corrections), eV per atom: -3.6390
Symmetry: No. 12
Mass density, g cm⁻³: 3.28

Cell: 6.395 8.280 8.454 Å, 119.32 87.14 90.00°
Element x y z (fractional)
Ca: 0.500 0.000 0.000
Sn: 0.000 0.500 0.000
Sn: 0.500 0.500 0.500
Sn: 0.500 0.000 0.500
Br: 0.219 0.674 0.348
Br: 0.781 0.326 0.652
Cl: 0.736 0.321 0.155
Cl: 0.264 0.679 0.845
Cl: 0.725 0.836 0.672
Cl: 0.275 0.164 0.328
Cl: 0.264 0.166 0.845
Cl: 0.736 0.834 0.155

Rb2TaI6N | GGA-PBE | optimized geometry

Computed properties:
Volume, Å³/f.u.: 398
Total DFT energy (no corrections), eV per atom: -3.3636
Symmetry: No. 139
Mass density, g cm⁻³: 4.71

Cell: 8.993 8.993 8.038 Å, 55.99 55.99 90.00°
Element x y z (fractional)
I: 0.278 0.278 0.444
I: 0.722 0.722 0.556
I: 0.224 0.224 0.000
I: 0.776 0.776 0.000
I: 0.776 0.224 0.000
I: 0.224 0.776 0.000
N: 0.500 0.500 0.000
Rb: 0.750 0.250 0.500
Rb: 0.250 0.750 0.500
Ta: 0.000 0.000 0.000